[1]
Here is a crystal of GdAl22O34 relaxed with PBEsol from Alexandria via LeMat-Bulk. Energies are from SCAN.

Unit cell a=5.609 b=9.747 c=11.671 alpha=98.00 beta=103.61 gamma=90.18
Last column: magnetic moment on the atom in μB.
Fractional coordinates of all 57 atoms:
1 O 0.707 0.287 0.499  -0.01
2 O 0.555 0.851 0.113  0.00
3 O 0.387 0.305 0.293  0.00
4 O 0.187 0.906 0.901  0.00
5 O 0.642 0.047 0.293  0.00
6 O 0.890 0.297 0.288  0.00
7 O 0.687 0.407 0.900  0.00
8 O 0.313 0.593 0.100  0.00
9 O 0.110 0.703 0.712  0.00
10 O 0.455 0.640 0.901  0.00
11 O 0.216 0.406 0.895  0.00
12 O 0.613 0.695 0.707  0.00
13 O 0.389 0.798 0.289  0.00
14 O 0.367 0.455 0.710  0.00
15 O 0.716 0.903 0.899  0.00
16 O 0.852 0.457 0.706  0.00
17 O 0.047 0.860 0.101  0.00
18 O 0.545 0.360 0.099  0.00
19 O 0.953 0.140 0.899  0.00
20 O 0.611 0.202 0.711  0.00
21 O 0.890 0.798 0.295  0.00
22 O 0.293 0.713 0.501  -0.01
23 O 0.139 0.048 0.285  0.00
24 O 0.110 0.202 0.705  0.00
25 O 0.633 0.545 0.290  0.00
26 O 0.784 0.594 0.105  0.00
27 O 0.051 0.352 0.109  0.00
28 O 0.284 0.097 0.101  0.00
29 O 0.445 0.149 0.887  0.00
30 O 0.861 0.952 0.715  0.00
31 O 0.949 0.648 0.891  0.00
32 O 0.358 0.953 0.707  0.00
33 O 0.148 0.543 0.294  0.00
34 O 0.813 0.094 0.099  0.00
35 Al 0.025 0.676 0.053  0.00
36 Al 0.855 0.451 0.217  0.00
37 Al 0.346 0.449 0.206  0.00
38 Al 0.355 0.952 0.216  0.00
39 Al 0.645 0.048 0.784  0.00
40 Al 0.146 0.049 0.783  0.00
41 Al 0.000 0.000 0.000  0.00
42 Al 0.854 0.951 0.217  0.00
43 Al 0.475 0.826 0.951  0.00
44 Al 0.975 0.324 0.947  0.00
45 Al 0.897 0.798 0.786  0.00
46 Al 0.669 0.223 0.350  0.00
47 Al 0.331 0.777 0.650  0.00
48 Al 0.829 0.275 0.647  0.00
49 Al 0.654 0.551 0.794  0.00
50 Al 0.103 0.202 0.214  0.00
51 Al 0.171 0.725 0.353  0.00
52 Al 0.500 0.500 0.000  0.00
53 Al 0.525 0.174 0.049  0.00
54 Al 0.396 0.296 0.782  0.00
55 Al 0.604 0.704 0.218  0.00
56 Al 0.145 0.549 0.783  0.00
57 Gd 0.500 0.500 0.500  7.35

Results
DOS at the Fermi energy = 2.7 states/eV per cell
E_form (uncorrected) = -3307 meV per atom
magnetization = 7.88 μB/f.u.
total DFT energy (no corrections) = -629.70 eV per cell
SG = No. 2



[2]
Here is a crystal of TaReTe2N relaxed with PBEsol from Alexandria via LeMat-Bulk. Energies are from SCAN.

Unit cell a=5.007 b=5.065 c=5.065 alpha=90.00 beta=90.00 gamma=90.00
Last column: magnetic moment on the atom in μB.
Fractional coordinates of all 5 atoms:
1 Ta 0.500 0.000 0.000  -1.30
2 Re 0.000 0.000 0.000  -0.15
3 N 0.500 0.500 0.500  1.63
4 Te 0.000 0.500 0.000  0.00
5 Te 0.000 0.000 0.500  0.00

Results
DOS at the Fermi energy = 4.2 states/eV per cell
E_form (uncorrected) = 1991 meV per atom
magnetization = 0.13 μB/f.u.
total DFT energy (no corrections) = -211.52 eV per cell
SG = No. 123



[3]
Here is a crystal of K2InSb relaxed with PBEsol from Alexandria via LeMat-Bulk. Energies are from SCAN.

Unit cell a=4.434 b=5.720 c=6.694 alpha=115.29 beta=109.34 gamma=90.00
Fractional coordinates of all 4 atoms:
1 In 0.204 0.704 0.407
2 K 0.781 0.281 0.562
3 K 0.975 0.975 0.949
4 Sb 0.541 0.541 0.081

Results
polymorph energy (0 for the lowest one) = 10.8 meV per atom
DOS at the Fermi energy = 1.2 states/eV per cell
E_form (uncorrected) = -402 meV per atom
magnetization = 0.00 μB/f.u.
total DFT energy (no corrections) = -88.91 eV per cell
SG = No. 44



[4]
Here is a crystal of Rb3OsPt relaxed with PBEsol from Alexandria via LeMat-Bulk. Energies are from SCAN.

Unit cell a=6.154 b=6.154 c=6.154 alpha=90.00 beta=90.00 gamma=90.00
Last column: magnetic moment on the atom in μB.
Fractional coordinates of all 5 atoms:
1 Rb 0.500 0.000 0.000  0.00
2 Rb 0.000 0.000 0.500  0.00
3 Rb 0.000 0.500 0.000  0.00
4 Os 0.500 0.500 0.500  2.38
5 Pt 0.000 0.000 0.000  0.01

Results
ΔE_f = 578.2 kJ/mol of formula units
magnetization = 2.95 μB/f.u.
total DFT energy (no corrections) = -198.30 eV per cell
SG = No. 221



[5]
Here is a crystal of NaAu3F relaxed with PBEsol from Alexandria via LeMat-Bulk. Energies are from SCAN.

Unit cell a=4.827 b=4.827 c=4.827 alpha=90.00 beta=90.00 gamma=90.00
Fractional coordinates of all 5 atoms:
1 Au 0.500 0.000 0.000
2 Au 0.000 0.500 0.000
3 Au 0.000 0.000 0.500
4 F 0.500 0.500 0.500
5 Na 0.000 0.000 0.000

Results
polymorph energy (0 for the lowest one) = 706.3 meV per atom
DOS at the Fermi energy = 1.8 states/eV per cell
E_form (uncorrected) = 879 meV per atom
magnetization = 0.00 μB/f.u.
total DFT energy (no corrections) = -210.83 eV per cell
SG = No. 221



[6]
Here is a crystal of YCd2Au relaxed with PBEsol from Alexandria via LeMat-Bulk. Energies are from SCAN.

Unit cell a=4.887 b=4.893 c=4.887 alpha=60.04 beta=90.00 gamma=119.96
Fractional coordinates of all 4 atoms:
1 Au 0.250 0.500 0.250
2 Cd 0.750 0.500 0.750
3 Cd 0.000 0.000 0.000
4 Y 0.500 0.000 0.500

Results
ΔE_f = -232.6 kJ/mol of formula units
DOS at the Fermi energy = 1.7 states/eV per cell
magnetization = 0.00 μB/f.u.
total DFT energy (no corrections) = -160.24 eV per cell
SG = No. 119



[7]
Here is a crystal of ReNi5 relaxed with PBEsol from Alexandria via LeMat-Bulk. Energies are from SCAN.

Unit cell a=2.533 b=4.067 c=6.598 alpha=90.00 beta=101.07 gamma=90.00
Last column: magnetic moment on the atom in μB.
Fractional coordinates of all 6 atoms:
1 Ni 0.001 0.000 0.002  0.43
2 Ni 0.559 0.500 0.118  0.51
3 Ni 0.666 0.000 0.332  0.92
4 Ni 0.328 0.000 0.657  0.26
5 Ni 0.221 0.500 0.442  0.57
6 Re 0.891 0.500 0.782  0.16

Results
polymorph energy (0 for the lowest one) = 27.3 meV per atom
ΔE_f = 42.8 kJ/mol of formula units
DOS at the Fermi energy = 6.1 states/eV per cell
magnetization = 2.65 μB/f.u.
total DFT energy (no corrections) = -151.52 eV per cell
SG = No. 38



[8]
Here is a crystal of Li11Nb4Ni9O24 relaxed with PBEsol from Alexandria via LeMat-Bulk. Energies are from SCAN.

Unit cell a=5.181 b=9.174 c=9.667 alpha=73.33 beta=80.61 gamma=79.39
Last column: magnetic moment on the atom in μB.
Fractional coordinates of all 48 atoms:
1 O 0.470 0.089 0.726  0.09
2 O 0.155 0.415 0.396  0.12
3 O 0.517 0.912 0.278  0.10
4 O 0.018 0.915 0.777  0.10
5 O 0.453 0.249 0.185  0.10
6 O 0.348 0.586 0.103  0.09
7 O 0.387 0.416 0.646  0.12
8 O 0.830 0.753 0.056  0.08
9 O 0.109 0.586 0.854  0.09
10 O 0.673 0.253 0.439  0.12
11 O 0.777 0.912 0.516  0.10
12 O 0.970 0.086 0.228  0.10
13 O 0.544 0.753 0.818  0.08
14 O 0.736 0.087 0.979  0.10
15 O 0.172 0.250 0.940  0.10
16 O 0.896 0.414 0.143  0.09
17 O 0.043 0.748 0.320  0.08
18 O 0.276 0.914 0.015  0.11
19 O 0.238 0.087 0.479  0.09
20 O 0.333 0.749 0.556  0.08
21 O 0.615 0.582 0.351  0.14
22 O 0.843 0.582 0.609  0.14
23 O 0.952 0.254 0.683  0.12
24 O 0.647 0.414 0.900  0.09
25 Li 0.859 0.069 0.608  0.00
26 Li 0.071 0.249 0.309  0.00
27 Li 0.357 0.071 0.106  0.01
28 Li 0.931 0.754 0.690  0.00
29 Li 0.392 0.915 0.648  0.00
30 Li 0.900 0.916 0.145  0.00
31 Li 0.728 0.587 0.978  0.00
32 Li 0.442 0.754 0.183  0.00
33 Li 0.229 0.586 0.478  0.00
34 Li 0.272 0.410 0.023  0.00
35 Li 0.553 0.250 0.817  0.00
36 Ni 0.017 0.423 0.776  1.60
37 Ni 0.643 0.924 0.894  1.63
38 Ni 0.476 0.580 0.734  1.62
39 Ni 0.607 0.082 0.352  1.61
40 Ni 0.984 0.580 0.226  1.62
41 Ni 0.146 0.922 0.394  1.63
42 Ni 0.769 0.420 0.520  1.49
43 Ni 0.101 0.083 0.857  1.63
44 Ni 0.521 0.423 0.263  1.61
45 Nb 0.188 0.746 0.938  -0.02
46 Nb 0.688 0.749 0.438  -0.13
47 Nb 0.812 0.252 0.062  -0.02
48 Nb 0.314 0.249 0.563  -0.07

Results
DOS at the Fermi energy = 8.4 states/eV per cell
E_form (uncorrected) = -2050 meV per atom
magnetization = 16.89 μB/f.u.
total DFT energy (no corrections) = -552.30 eV per cell
SG = No. 1